No. 1
Computed, not measured: crystalline LiNbZn at its relaxed geometry at the PBE-GGA level of DFT.

Results
N(E_F): 2.111 states/eV/f.u.
ΔE to the lowest computed polymorph: 0.160 eV/atom
V: 93.5 Å³/cell
Total magnetic moment: 0.0 Bohr magnetons per cell

Lattice parameters (Å, degrees): 8.7151 4.9163 4.9163 133.87 136.46 43.54
Closest atoms and distances in Å follow each position.
Fractional positions:
Nb 0.0505 0.6100 0.3900  3 Nb 2.72-2.74, 5 Li 2.78-2.98, 4 Zn 2.80-3.00
Nb 0.9495 0.3900 0.6100  3 Nb 2.72-2.74, 5 Li 2.78-2.98, 4 Zn 2.80-3.00
Li 0.7121 0.2724 0.7276  1 Li 2.58, 5 Zn 2.58-2.86, 2 Nb 2.78
Li 0.2879 0.7276 0.2724  1 Li 2.58, 5 Zn 2.58-2.86, 2 Nb 2.78
Zn 0.5739 0.0964 0.9036  5 Li 2.58-2.86, 3 Zn 2.73-2.87, 3 Nb 2.80-2.88
Zn 0.4261 0.9036 0.0964  5 Li 2.58-2.86, 3 Zn 2.73-2.87, 3 Nb 2.80-2.88

***

No. 2
Computed, not measured: crystalline Sm5ErTl6 at its relaxed geometry at the PBE-GGA level of DFT.

Results
N(E_F): 9.488 states/eV/f.u.
V: 341.7 Å³/cell
Energy: -3.896 eV per atom
Total magnetic moment: 0.0 Bohr magnetons per cell

Lattice parameters (Å, degrees): 5.4466 9.4240 9.4372 60.05 73.15 54.51
Closest atoms and distances in Å follow each position.
Fractional positions:
Sm 0.0000 0.6654 0.6693  8 Tl 3.35-3.36
Sm 0.5000 0.8301 0.3398  8 Tl 3.31-3.34
Sm 0.5000 0.5000 0.0000  8 Tl 3.32-3.37
Sm 0.5000 0.1699 0.6602  8 Tl 3.31-3.34
Sm 0.0000 0.3346 0.3307  8 Tl 3.35-3.36
Tl 0.7411 0.7582 0.0000  2 Er 3.29-3.30, 6 Sm 3.34-3.37
Tl 0.2589 0.2418 0.0000  2 Er 3.29-3.30, 6 Sm 3.34-3.37
Tl 0.2456 0.9185 0.6716  1 Er 3.28, 7 Sm 3.31-3.36
Tl 0.7544 0.0815 0.3284  1 Er 3.28, 7 Sm 3.31-3.36
Tl 0.7544 0.4098 0.6716  1 Er 3.28, 7 Sm 3.31-3.36
Tl 0.2456 0.5902 0.3284  1 Er 3.28, 7 Sm 3.31-3.36
Er 0.0000 0.0000 0.0000  8 Tl 3.28-3.30

***

No. 3
Computed, not measured: crystalline TbScCd at its relaxed geometry at the PBE-GGA level of DFT.

Results
N(E_F): 3.960 states/eV/f.u.
ΔE to the lowest computed polymorph: 0.000 eV/atom
V: 77.1 Å³/cell
Total magnetic moment: 0.7 Bohr magnetons per cell

Lattice parameters (Å, degrees): 3.4624 3.4624 6.8781 104.58 104.58 90.00
Closest atoms and distances in Å follow each position.
Fractional positions:
Cd 0.6760 0.6760 0.3520  4 Sc 3.08, 4 Tb 3.31
Tb 0.0031 0.0031 0.0061  4 Cd 3.31, 4 Sc 3.39, 4 Tb 3.46
Sc 0.3209 0.3209 0.6419  4 Cd 3.08, 4 Tb 3.39

***

No. 4
Computed, not measured: crystalline PaTiSbMo at its relaxed geometry at the PBE-GGA level of DFT.

Results
Formation energy without anion corrections: -0.115 eV/atom
N(E_F): 3.237 states/eV/f.u.
V: 77.3 Å³/cell
Total magnetic moment: 0.0 Bohr magnetons per cell

Lattice parameters (Å, degrees): 4.7824 4.7824 4.7824 60.00 60.00 60.00
Closest atoms and distances in Å follow each position.
Fractional positions:
Pa 0.0000 0.0000 0.0000  4 Mo 2.93, 4 Ti 2.93
Sb 0.5000 0.5000 0.5000  4 Ti 2.93, 4 Mo 2.93
Mo 0.7500 0.7500 0.7500  4 Pa 2.93, 4 Sb 2.93
Ti 0.2500 0.2500 0.2500  4 Pa 2.93, 4 Sb 2.93

***

No. 5
Computed, not measured: crystalline Fe2OsRh at its relaxed geometry at the PBE-GGA level of DFT.

Results
N(E_F): 3.918 states/eV/f.u.
ΔE to the lowest computed polymorph: 0.003 eV/atom
V: 51.7 Å³/cell
Total magnetic moment: 4.1 Bohr magnetons per cell

Lattice parameters (Å, degrees): 4.5706 4.5706 4.5121 80.15 80.15 33.85
Closest atoms and distances in Å follow each position.
Fractional positions:
Rh 0.2501 0.2501 0.2480  7 Fe 2.61-2.65, 3 Os 2.65, 2 Rh 2.66
Fe 0.7488 0.7488 0.7496  5 Fe 2.61-2.66, 3 Os 2.61-2.63, 4 Rh 2.61-2.62
Fe 0.0020 0.0020 0.9950  4 Os 2.57-2.66, 5 Fe 2.61-2.66, 3 Rh 2.63-2.65
Os 0.4991 0.4991 0.5074  7 Fe 2.57-2.66, 3 Rh 2.65, 2 Os 2.66

***

No. 6
Computed, not measured: crystalline MgBRh2Au at its relaxed geometry at the PBE-GGA level of DFT.

Results
N(E_F): 0.861 states/eV/f.u.
V: 73.2 Å³/cell
Energy: -5.579 eV per atom
Total magnetic moment: 0.0 Bohr magnetons per cell

Lattice parameters (Å, degrees): 4.1501 4.1501 4.2520 90.00 90.00 90.00
Closest atoms and distances in Å follow each position.
Fractional positions:
Mg 0.5000 0.5000 0.5000  4 Au 2.93, 8 Rh 2.97
Rh 0.0000 0.5000 0.0000  2 B 2.08
Rh 0.5000 0.0000 0.0000  2 B 2.08
Au 0.0000 0.0000 0.5000  2 B 2.13
B 0.0000 0.0000 0.0000  4 Rh 2.08, 2 Au 2.13

***

No. 7
Computed, not measured: crystalline AlTe2Cl at its relaxed geometry at the PBE-GGA level of DFT.

Results
Formation energy without anion corrections: -0.477 eV/atom
N(E_F): 0.518 states/eV/f.u.
ΔE to the lowest computed polymorph: 0.087 eV/atom
V: 120.1 Å³/cell
Total magnetic moment: 0.0 Bohr magnetons per cell

Lattice parameters (Å, degrees): 4.1367 5.8266 6.9156 46.08 90.00 90.00
Closest atoms and distances in Å follow each position.
Fractional positions:
Te 0.0000 0.4258 0.3964  1 Te 2.79, 2 Al 2.79
Te 0.0000 0.0742 0.1036  1 Te 2.79, 2 Al 2.79
Cl 0.5000 0.7500 0.7500  2 Al 2.54
Al 0.5000 0.2500 0.2500  2 Cl 2.54, 4 Te 2.79

***

No. 8
Computed, not measured: crystalline Ho2ZnCr at its relaxed geometry at the PBE-GGA level of DFT.

Results
N(E_F): 2.805 states/eV/f.u.
ΔE to the lowest computed polymorph: 0.005 eV/atom
V: 89.6 Å³/cell
Total magnetic moment: 3.8 Bohr magnetons per cell

Lattice parameters (Å, degrees): 3.5682 5.0108 5.0108 90.00 90.00 90.00
Closest atoms and distances in Å follow each position.
Fractional positions:
Ho 0.0000 0.0000 0.5000  4 Cr 3.08, 4 Zn 3.08
Ho 0.0000 0.5000 0.0000  4 Cr 3.08, 4 Zn 3.08
Zn 0.5000 0.0000 0.0000  8 Ho 3.08
Cr 0.5000 0.5000 0.5000  8 Ho 3.08

***

No. 9
Computed, not measured: crystalline Sc2SbP at its relaxed geometry at the PBE-GGA level of DFT.

Results
Formation energy without anion corrections: -0.665 eV/atom
N(E_F): 2.022 states/eV/f.u.
V: 83.2 Å³/cell
Total magnetic moment: 0.0 Bohr magnetons per cell

Lattice parameters (Å, degrees): 4.9007 4.9007 4.9007 60.00 60.00 60.00
Closest atoms and distances in Å follow each position.
Fractional positions:
Sc 0.2500 0.2500 0.2500  4 Sb 3.00, 4 P 3.00
Sc 0.7500 0.7500 0.7500  4 Sb 3.00, 4 P 3.00
Sb 0.5000 0.5000 0.5000  8 Sc 3.00
P 0.0000 0.0000 0.0000  8 Sc 3.00

***

No. 10
Computed, not measured: crystalline Li2AgF3 at its relaxed geometry at the PBE-GGA level of DFT.

Results
Formation energy without anion corrections: -2.221 eV/atom
N(E_F): 0.000 states/eV/f.u.
ΔE to the lowest computed polymorph: 0.048 eV/atom
V: 136.2 Å³/cell
Total magnetic moment: 0.0 Bohr magnetons per cell

Lattice parameters (Å, degrees): 5.3857 5.3857 5.4090 90.00 90.00 119.75
Closest atoms and distances in Å follow each position.
Fractional positions:
Li 0.8334 0.1666 0.0000  6 F 2.10-2.11
Li 0.8334 0.1666 0.5000  6 F 2.10-2.11
Li 0.1666 0.8334 0.5000  6 F 2.10-2.11
Li 0.1666 0.8334 0.0000  6 F 2.10-2.11
F 0.0797 0.5012 0.2500  4 Li 2.10-2.11, 1 Ag 2.28
F 0.9236 0.9236 0.2500  4 Li 2.10, 1 Ag 2.27
F 0.4988 0.9203 0.7500  4 Li 2.10-2.11, 1 Ag 2.28
F 0.9203 0.4988 0.7500  4 Li 2.10-2.11, 1 Ag 2.28
F 0.0764 0.0764 0.7500  4 Li 2.10, 1 Ag 2.27
F 0.5012 0.0797 0.2500  4 Li 2.10-2.11, 1 Ag 2.28
Ag 0.5034 0.5034 0.2500  3 F 2.27-2.28
Ag 0.4966 0.4966 0.7500  3 F 2.27-2.28

***

No. 11
Computed, not measured: crystalline Ac6Bi2SbSe3 at its relaxed geometry at the PBE-GGA level of DFT.

Results
Formation energy without anion corrections: -1.466 eV/atom
N(E_F): 5.593 states/eV/f.u.
V: 431.0 Å³/cell
Total magnetic moment: 0.0 Bohr magnetons per cell

Lattice parameters (Å, degrees): 4.6877 9.2854 10.4127 102.28 103.01 90.00
Closest atoms and distances in Å follow each position.
Fractional positions:
Bi 0.8332 0.6662 0.6665  6 Ac 3.37-3.38
Bi 0.1668 0.3338 0.3335  6 Ac 3.37-3.38
Ac 0.0036 0.7472 0.0073  3 Se 3.24-3.27, 2 Sb 3.33, 1 Bi 3.37
Ac 0.3319 0.9264 0.6637  3 Se 3.23-3.26, 1 Sb 3.33, 2 Bi 3.37
Ac 0.6627 0.5921 0.3255  3 Se 3.23, 3 Bi 3.37-3.38
Ac 0.6681 0.0736 0.3363  3 Se 3.23-3.26, 1 Sb 3.33, 2 Bi 3.37
Ac 0.3373 0.4079 0.6745  3 Se 3.23, 3 Bi 3.37-3.38
Ac 0.9964 0.2528 0.9927  3 Se 3.24-3.27, 2 Sb 3.33, 1 Bi 3.37
Sb 0.5000 0.0000 0.0000  6 Ac 3.33
Se 0.1673 0.8336 0.3346  6 Ac 3.23-3.26
Se 0.5000 0.5000 0.0000  6 Ac 3.23-3.27
Se 0.8327 0.1664 0.6654  6 Ac 3.23-3.26

***

No. 12
Computed, not measured: crystalline Pr2Nd3Zn2 at its relaxed geometry at the PBE-GGA level of DFT.

Results
N(E_F): 8.188 states/eV/f.u.
ΔE to the lowest computed polymorph: 0.000 eV/atom
V: 211.6 Å³/cell
Total magnetic moment: 0.0 Bohr magnetons per cell

Lattice parameters (Å, degrees): 3.7388 3.6652 15.5566 90.00 96.90 90.00
Closest atoms and distances in Å follow each position.
Fractional positions:
Nd 0.5851 0.5000 0.1701  4 Zn 3.16
Nd 0.4149 0.5000 0.8299  4 Zn 3.16
Nd 0.0000 0.0000 0.0000  12 Nd 3.67-3.74
Zn 0.1423 0.0000 0.2846  4 Nd 3.16, 4 Pr 3.18
Zn 0.8577 0.0000 0.7154  4 Nd 3.16, 4 Pr 3.18
Pr 0.7009 0.5000 0.4018  4 Zn 3.18, 2 Pr 3.56
Pr 0.2991 0.5000 0.5982  4 Zn 3.18, 2 Pr 3.56

***

Please write out number 5 again, unchanged.
Computed, not measured: crystalline Fe2OsRh at its relaxed geometry at the PBE-GGA level of DFT.

Results
N(E_F): 3.918 states/eV/f.u.
ΔE to the lowest computed polymorph: 0.003 eV/atom
V: 51.7 Å³/cell
Total magnetic moment: 4.1 Bohr magnetons per cell

Lattice parameters (Å, degrees): 4.5706 4.5706 4.5121 80.15 80.15 33.85
Closest atoms and distances in Å follow each position.
Fractional positions:
Rh 0.2501 0.2501 0.2480  7 Fe 2.61-2.65, 3 Os 2.65, 2 Rh 2.66
Fe 0.7488 0.7488 0.7496  5 Fe 2.61-2.66, 3 Os 2.61-2.63, 4 Rh 2.61-2.62
Fe 0.0020 0.0020 0.9950  4 Os 2.57-2.66, 5 Fe 2.61-2.66, 3 Rh 2.63-2.65
Os 0.4991 0.4991 0.5074  7 Fe 2.57-2.66, 3 Rh 2.65, 2 Os 2.66